# CeMgGa PBE optimized geometry
# Energy relative to the elements ... -0.37 eV/atom
data_CeMgGa
_space_group_name_H-M_alt 'P 1'
_space_group_IT_number 1
_space_group_name_Hall 'P 1'
_cell_length_a 7.407
_cell_length_b 7.407
_cell_length_c 4.535
_cell_angle_alpha 90.00
_cell_angle_beta 90.00
_cell_angle_gamma 120.00
loop_
_atom_site_label
_atom_site_fract_x
_atom_site_fract_y
_atom_site_fract_z
Ce1 0.000 0.423 0.000
Ce2 0.423 0.000 0.000
Ce3 0.577 0.577 0.000
Mg1 0.000 0.758 0.500
Mg2 0.242 0.242 0.500
Mg3 0.758 0.000 0.500
Ga1 0.000 0.000 0.000
Ga2 0.333 0.667 0.500
Ga3 0.667 0.333 0.500